# CsSmSn2I8

An optimized crystal structure of CsSmSn2I8 (GGA-PBE, Alexandria via LeMat-Bulk).

Cell and atoms, written as POSCAR:
```
CsSmSn2I8
1.0
-0.478 -5.594 5.607
-1.940 -5.367 -4.844
9.541 -3.833 -1.291
I Sm Cs Sn
8 1 1 2
Direct
0.676 0.773 0.022
0.324 0.227 0.978
0.850 0.263 0.786
0.150 0.737 0.214
0.837 0.248 0.206
0.391 0.262 0.544
0.163 0.752 0.794
0.609 0.738 0.456
0.000 0.000 0.000
0.000 0.000 0.500
0.516 0.528 0.254
0.484 0.472 0.746
```

Summary:
Calculated total energy (eV per atom): -3.09
Calculated density (g/cm³): 4.2
E_form (uncorrected) (kJ/mol of atoms): -90
Symmetry: P-1 (2)

# LaPr6SmDy2

An optimized crystal structure of LaPr6SmDy2 (GGA-PBE, Alexandria via LeMat-Bulk).

Cell and atoms, written as POSCAR:
```
LaPr6SmDy2
1.0
-9.185 2.667 -2.580
-2.606 -4.151 7.591
2.998 8.494 0.713
La Pr Dy Sm
2 12 4 2
Direct
0.750 0.595 0.405
0.250 0.405 0.595
0.944 0.891 0.242
0.879 0.297 0.509
0.056 0.109 0.758
0.621 0.491 0.703
0.556 0.758 0.109
0.444 0.242 0.891
0.818 0.433 0.983
0.121 0.703 0.491
0.682 0.017 0.567
0.318 0.983 0.433
0.182 0.567 0.017
0.379 0.509 0.297
0.953 0.710 0.805
0.453 0.805 0.710
0.047 0.290 0.195
0.547 0.195 0.290
0.250 0.971 0.029
0.750 0.029 0.971
```

Summary:
Calculated total energy (eV per atom): -4.64
Calculated density (g/cm³): 6.8
Symmetry: C2/c (15)
Energy of formation (eV per atom): 0.110

# MgOs2Br

An optimized crystal structure of MgOs2Br (GGA-PBE, Alexandria via LeMat-Bulk).

Cell and atoms, written as POSCAR:
```
MgOs2Br
1.0
-4.938 -2.021 2.160
-3.255 -4.367 1.864
1.194 0.340 4.100
Os Mg Br
2 1 1
Direct
0.965 0.965 0.026
0.535 0.535 0.474
0.250 0.250 0.250
0.750 0.750 0.750
```

Summary:
Calculated total energy (eV per atom): -5.84
Energy above the lowest structure with this stoichiometry (meV per atom): 336.3
Calculated density (g/cm³): 11.7
E_form (uncorrected) (kJ/mol of atoms): 57
Symmetry: C2/m (12)

# Ce2NdSi3Ir4

An optimized crystal structure of Ce2NdSi3Ir4 (GGA-PBE, Alexandria via LeMat-Bulk).

Cell and atoms, written as POSCAR:
```
Ce2NdSi3Ir4
1.0
-2.276 1.913 2.869
2.301 -1.717 2.971
7.026 8.847 -0.327
Ir Nd Si Ce
4 1 3 2
Direct
0.000 0.000 0.000
0.500 0.000 0.676
0.000 0.500 0.324
0.500 0.500 0.000
0.500 0.500 0.500
0.500 0.000 0.886
0.000 0.000 0.500
0.000 0.500 0.114
0.000 0.500 0.771
0.500 0.000 0.229
```

Summary:
Calculated total energy (eV per atom): -7.69
Calculated density (g/cm³): 11.0
E_form (uncorrected) (kJ/mol of atoms): -83
Symmetry: P-4m2 (115)

# SmSCl

An optimized crystal structure of SmSCl (GGA-PBE, Alexandria via LeMat-Bulk).

Cell and atoms, written as POSCAR:
```
SmSCl
1.0
4.737 0.000 0.000
2.369 4.103 0.000
2.369 1.368 3.868
S Sm Cl
1 1 1
Direct
0.500 0.500 0.500
0.250 0.250 0.250
0.000 0.000 0.000
```

Summary:
Calculated total energy (eV per atom): -5.63
Calculated density (g/cm³): 4.8
E_form (uncorrected) (kJ/mol of atoms): -199
Symmetry: F-43m (216)

# Nd15Er2In2

An optimized crystal structure of Nd15Er2In2 (GGA-PBE, Alexandria via LeMat-Bulk).

Cell and atoms, written as POSCAR:
```
Nd15Er2In2
1.0
8.444 -0.533 2.342
1.639 8.301 2.342
-0.691 -0.533 8.736
Nd Er In
15 2 2
Direct
0.292 0.708 0.000
0.708 0.292 0.000
0.620 0.161 0.620
0.380 0.380 0.839
0.620 0.620 0.161
0.708 0.000 0.292
0.000 0.500 0.000
0.000 0.292 0.708
0.292 0.000 0.708
0.000 0.708 0.292
0.500 0.000 0.000
0.380 0.839 0.380
0.000 0.000 0.500
0.839 0.380 0.380
0.161 0.620 0.620
0.307 0.307 0.307
0.693 0.693 0.693
0.095 0.095 0.095
0.905 0.905 0.905
```

Summary:
Calculated total energy (eV per atom): -4.39
Calculated density (g/cm³): 7.0
Symmetry: R-3m (166)
Energy of formation (eV per atom): 0.145

# YSiAs

An optimized crystal structure of YSiAs (GGA-PBE, Alexandria via LeMat-Bulk).

Cell and atoms, written as POSCAR:
```
YSiAs
1.0
4.697 0.000 0.000
2.349 4.068 0.000
2.349 1.356 3.835
As Si Y
1 1 1
Direct
0.250 0.250 0.250
0.000 0.000 0.000
0.500 0.500 0.500
```

Summary:
Calculated total energy (eV per atom): -5.71
Calculated density (g/cm³): 4.3
E_form (uncorrected) (kJ/mol of atoms): -19
Symmetry: F-43m (216)

# ZrTiI2

An optimized crystal structure of ZrTiI2 (GGA-PBE, Alexandria via LeMat-Bulk).

Cell and atoms, written as POSCAR:
```
ZrTiI2
1.0
7.750 0.000 0.000
0.000 7.750 0.000
3.875 3.875 3.581
Zr I Ti
2 4 2
Direct
0.750 0.250 0.500
0.000 0.000 0.000
0.875 0.856 0.750
0.375 0.394 0.750
0.144 0.625 0.250
0.606 0.125 0.250
0.250 0.750 0.500
0.500 0.500 0.000
```

Summary:
Calculated total energy (eV per atom): -4.50
Energy above the lowest structure with this stoichiometry (meV per atom): 299.9
Calculated density (g/cm³): 6.1
E_form (uncorrected) (kJ/mol of atoms): 38
Symmetry: I-42d (122)